(1)
{
  "formula": "Pm2NpAs3Rh4",
  "functional": "PBE",
  "state": "optimized geometry",
  "lattice": [[4.159, 0.000, 0.000], [0.000, 4.159, 0.000], [0.000, 0.000, 11.242]],
  "species": ["Pm", "Pm", "Np", "As", "As", "As", "Rh", "Rh", "Rh", "Rh"],
  "frac_coords": [[0.000, 0.500, 0.223], [0.500, 0.000, 0.777], [0.000, 0.000, 0.500], [0.000, 0.500, 0.870], [0.500, 0.000, 0.130], [0.500, 0.500, 0.500], [0.000, 0.000, 0.000], [0.000, 0.500, 0.653], [0.500, 0.000, 0.347], [0.500, 0.500, 0.000]],
  "total_magnetization_mub_per_fu": 3.8,
  "final_energy_ev_per_atom": -7.416
}

=====

(2)
{
  "formula": "PmNpAsSe",
  "functional": "PBE",
  "state": "optimized geometry",
  "lattice": [[7.210, 0.000, 0.000], [0.000, 7.210, 0.000], [0.000, 0.000, 7.210]],
  "species": ["Pm", "Pm", "Pm", "Pm", "Np", "Np", "Np", "Np", "As", "As", "As", "As", "Se", "Se", "Se", "Se"],
  "frac_coords": [[0.000, 0.000, 0.000], [0.000, 0.500, 0.500], [0.500, 0.000, 0.500], [0.500, 0.500, 0.000], [0.000, 0.000, 0.500], [0.000, 0.500, 0.000], [0.500, 0.000, 0.000], [0.500, 0.500, 0.500], [0.250, 0.250, 0.750], [0.250, 0.750, 0.250], [0.750, 0.250, 0.250], [0.750, 0.750, 0.750], [0.250, 0.250, 0.250], [0.250, 0.750, 0.750], [0.750, 0.250, 0.750], [0.750, 0.750, 0.250]],
  "raw_formation_energy_ev_per_atom": -0.980,
  "total_magnetization_mub_per_fu": 4.9,
  "final_energy_ev_per_atom": -7.436
}

=====

(3)
{
  "formula": "Sr3Pm2NpAs6",
  "functional": "PBE",
  "state": "optimized geometry",
  "lattice": [[3.717, -6.436, 0.000], [3.717, 6.436, 0.000], [-2.483, 0.000, 7.164]],
  "species": ["Sr", "Sr", "Sr", "Pm", "Pm", "Np", "As", "As", "As", "As", "As", "As"],
  "frac_coords": [[0.000, 0.000, 0.000], [0.329, 0.671, 0.000], [0.671, 0.329, 0.000], [0.166, 0.834, 0.500], [0.834, 0.166, 0.500], [0.500, 0.500, 0.500], [0.112, 0.427, 0.279], [0.261, 0.261, 0.720], [0.427, 0.112, 0.279], [0.573, 0.888, 0.721], [0.739, 0.739, 0.280], [0.888, 0.573, 0.721]],
  "total_magnetization_mub_per_fu": 1.0,
  "final_energy_ev_per_atom": -5.760
}

=====

(4)
{
  "formula": "TbPm2NpAs4",
  "functional": "PBE",
  "state": "optimized geometry",
  "lattice": [[7.231, 0.000, 0.000], [0.000, 4.172, 0.000], [-2.392, 0.000, 6.831]],
  "species": ["Tb", "Pm", "Pm", "Np", "As", "As", "As", "As"],
  "frac_coords": [[0.000, 0.000, 0.000], [0.000, 0.500, 0.500], [0.500, 0.000, 0.500], [0.500, 0.500, 0.000], [0.250, 0.500, 0.241], [0.255, 0.000, 0.759], [0.745, 0.000, 0.241], [0.750, 0.500, 0.759]],
  "total_magnetization_mub_per_fu": 3.7,
  "final_energy_ev_per_atom": -7.020
}

=====

(5)
{
  "formula": "Tb2PmNpAs4",
  "functional": "PBE",
  "state": "optimized geometry",
  "lattice": [[7.190, 0.000, 0.000], [0.000, 4.149, 0.000], [-2.382, 0.000, 6.791]],
  "species": ["Tb", "Tb", "Pm", "Np", "As", "As", "As", "As"],
  "frac_coords": [[0.000, 0.000, 0.000], [0.000, 0.500, 0.500], [0.500, 0.000, 0.500], [0.500, 0.500, 0.000], [0.248, 0.500, 0.243], [0.250, 0.000, 0.755], [0.750, 0.000, 0.245], [0.752, 0.500, 0.757]],
  "total_magnetization_mub_per_fu": 3.8,
  "final_energy_ev_per_atom": -7.006
}

=====

(6)
{
  "formula": "Pm2ThNpAs4",
  "functional": "PBE",
  "state": "optimized geometry",
  "lattice": [[7.289, 0.000, 0.000], [0.000, 4.211, 0.000], [-2.432, 0.000, 6.894]],
  "species": ["Pm", "Pm", "Th", "Np", "As", "As", "As", "As"],
  "frac_coords": [[0.000, 0.000, 0.000], [0.500, 0.500, 0.000], [0.000, 0.500, 0.500], [0.500, 0.000, 0.500], [0.253, 0.000, 0.747], [0.257, 0.500, 0.257], [0.743, 0.500, 0.743], [0.747, 0.000, 0.253]],
  "total_magnetization_mub_per_fu": 4.0,
  "final_energy_ev_per_atom": -7.350
}